No. 1
CuTc2Rh | GGA-PBE | optimized geometry

```
CuTc2Rh
1.0
0.000 3.047 3.047
3.047 0.000 3.047
3.047 3.047 0.000
Tc Cu Rh
2 1 1
Direct
0.750 0.750 0.750
0.250 0.250 0.250
0.000 0.000 0.000
0.500 0.500 0.500
```

magnetization = 0.717 μB per cell
formation energy = 1.8 eV/f.u.
crystal system = cubic
distance to the lowest polymorph of the same formula = 400 meV/atom
SG = Fm-3m, No. 225
calculated total energy = -7.59 eV/atom



No. 2
CuTc2Rh | GGA-PBE | optimized geometry

```
CuTc2Rh
1.0
8.974 -0.019 -0.011
8.572 2.658 -0.011
8.572 1.289 2.325
Cu Rh Tc
1 1 2
Direct
0.250 0.250 0.250
0.750 0.750 0.750
0.000 0.000 0.000
0.500 0.500 0.500
```

magnetization = 0.000 μB per cell
formation energy = 0.6 eV/f.u.
crystal system = trigonal
distance to the lowest polymorph of the same formula = 91 meV/atom
SG = R-3m, No. 166
calculated total energy = -7.90 eV/atom



No. 3
Cu2TcRh | GGA-PBE | optimized geometry

```
Cu2TcRh
1.0
8.618 -0.027 -0.016
8.200 2.652 -0.016
8.200 1.280 2.323
Cu Rh Tc
2 1 1
Direct
0.748 0.748 0.748
0.002 0.002 0.002
0.500 0.500 0.500
0.250 0.250 0.250
```

magnetization = 0.000 μB per cell
formation energy = 0.3 eV/f.u.
crystal system = trigonal
distance to the lowest polymorph of the same formula = 32 meV/atom
SG = R3m, No. 160
calculated total energy = -6.40 eV/atom



No. 4
CuTc2Rh | GGA-PBE | optimized geometry

```
CuTc2Rh
1.0
-2.126 -0.675 -1.444
0.760 -1.776 1.824
-5.344 3.911 6.038
Tc Rh Cu
2 1 1
Direct
0.500 0.500 0.250
0.000 0.000 0.002
0.500 0.500 0.747
0.000 0.000 0.501
```

magnetization = 0.000 μB per cell
formation energy = 0.9 eV/f.u.
crystal system = orthorhombic
distance to the lowest polymorph of the same formula = 172 meV/atom
SG = Cmm2, No. 35
calculated total energy = -7.81 eV/atom



No. 5
CuTc2Rh | GGA-PBE | optimized geometry

```
CuTc2Rh
1.0
4.668 -0.004 0.001
3.911 2.549 0.001
0.691 0.205 4.688
Cu Tc Rh
1 2 1
Direct
0.501 0.501 0.494
0.751 0.751 0.754
0.993 0.993 0.992
0.254 0.254 0.261
```

magnetization = 0.000 μB per cell
formation energy = 0.4 eV/f.u.
crystal system = monoclinic
distance to the lowest polymorph of the same formula = 45 meV/atom
SG = Cm, No. 8
calculated total energy = -7.94 eV/atom



No. 6
Cu2TcRh | GGA-PBE | optimized geometry

```
Cu2TcRh
1.0
2.625 0.015 0.000
-1.169 2.350 0.000
0.000 0.000 8.812
Rh Cu Tc
1 2 1
Direct
0.000 0.000 0.497
0.500 0.500 0.243
0.000 0.000 0.008
0.500 0.500 0.752
```

magnetization = 0.000 μB per cell
formation energy = 0.8 eV/f.u.
crystal system = orthorhombic
distance to the lowest polymorph of the same formula = 154 meV/atom
SG = Cmm2, No. 35
calculated total energy = -6.28 eV/atom



No. 7
CuTc2Rh | GGA-PBE | optimized geometry

```
CuTc2Rh
1.0
-2.835 -2.345 -1.434
1.879 -1.749 -0.855
1.634 -4.248 3.717
Rh Cu Tc
1 1 2
Direct
0.500 0.750 0.750
0.500 0.250 0.250
0.000 0.522 0.477
0.000 0.978 0.023
```

magnetization = 0.000 μB per cell
formation energy = 0.3 eV/f.u.
crystal system = orthorhombic
distance to the lowest polymorph of the same formula = 26 meV/atom
SG = Pmmm, No. 47
calculated total energy = -7.96 eV/atom



No. 8
CuTc2Rh | GGA-PBE | optimized geometry

```
CuTc2Rh
1.0
4.776 0.014 0.001
-1.932 4.368 0.001
-0.001 -0.001 2.661
Rh Cu Tc
1 1 2
Direct
0.000 0.500 0.500
0.500 0.000 0.500
0.000 0.000 0.000
0.500 0.500 0.000
```

magnetization = 0.001 μB per cell
formation energy = 0.6 eV/f.u.
crystal system = orthorhombic
distance to the lowest polymorph of the same formula = 84 meV/atom
SG = Cmmm, No. 65
calculated total energy = -7.90 eV/atom